Record 1
First-principles (SCAN) data for a crystal of K2LaCr relaxed with PBEsol, as listed in Alexandria.

Calculated values
* crystal system: trigonal
* uncorrected energy: -226.2 eV per cell
* V: 36.30 Å³/atom
* E above lowest polymorph: 0.051 eV/atom

Unit cell a=3.5626 b=3.5626 c=39.6275 alpha=90.00 beta=90.00 gamma=120.00
Space group R-3m (No. 166, hexagonal axes)
Asymmetric unit:
K: 0.0000 0.0000 0.2412 [6 per cell]
La: 0.0000 0.0000 0.0000 [3 per cell]
Cr: 0.0000 0.0000 0.5000 [3 per cell]

***

Record 2
First-principles (SCAN) data for a crystal of Ba2CaAl relaxed with PBEsol, as listed in Alexandria.

Calculated values
* crystal system: orthorhombic
* uncorrected energy: -193.3 eV per cell
* V: 40.70 Å³/atom

Unit cell a=4.035 b=6.174 c=13.069 alpha=90.00 beta=90.00 gamma=90.00
Space group Imm2 (No. 44)
Asymmetric unit:
Ba: 0.000 0.000 0.000 [2 per cell]
Ba: 0.000 0.500 0.194 [2 per cell]
Ca: 0.000 0.500 0.799 [2 per cell]
Al: 0.000 0.000 0.481 [2 per cell]

***

Record 3
First-principles (SCAN) data for a crystal of InAsWBr2 relaxed with PBEsol, as listed in Alexandria.

Calculated values
* formation energy (no corrections): 1.276 eV per atom
* crystal system: tetragonal
* uncorrected energy: -155.8 eV per cell
* V: 28.78 Å³/atom

Unit cell a=5.173 b=5.173 c=5.378 alpha=90.00 beta=90.00 gamma=90.00
Space group P4/mmm (No. 123)
Asymmetric unit:
In: 0.000 0.000 0.000 [1 per cell]
As: 0.000 0.000 0.500 [1 per cell]
W: 0.500 0.500 0.500 [1 per cell]
Br: 0.000 0.500 0.000 [2 per cell]

***

Record 4
First-principles (SCAN) data for a crystal of KInOs2 relaxed with PBEsol, as listed in Alexandria.

Calculated values
* crystal system: orthorhombic
* uncorrected energy: -181.5 eV per cell
* V: 21.94 Å³/atom

Unit cell a=2.741 b=4.607 c=6.948 alpha=90.00 beta=90.00 gamma=90.00
Space group Pmmm (No. 47)
Asymmetric unit:
K: 0.000 0.000 0.000 [1 per cell]
In: 0.000 0.000 0.500 [1 per cell]
Os: 0.500 0.500 0.335 [2 per cell]